PBE SrLiPb2, optimized geometry; Fermi-level density of states = 7.80 states/eV/cell; electronic total energy = -11.7 eV per formula unit
1.0
5.2149 0.0000 0.0000
0.0000 5.2149 0.0000
0.0000 0.0000 20.0623
Sr Li Pb
4 4 8
Cartesian
0.0000 0.0000 0.0000 Sr
0.0000 2.6074 5.0156 Sr
2.6074 0.0000 15.0468 Sr
2.6074 2.6074 10.0312 Sr
0.0000 0.0000 10.0312 Li
0.0000 2.6074 15.0468 Li
2.6074 0.0000 5.0156 Li
2.6074 2.6074 0.0000 Li
0.8501 1.3037 12.5390 Pb
1.3037 3.4576 17.5545 Pb
1.3037 4.3647 7.5234 Pb
1.7573 1.3037 2.5078 Pb
3.4576 3.9112 2.5078 Pb
3.9112 0.8501 7.5234 Pb
3.9112 1.7573 17.5545 Pb
4.3647 3.9112 12.5390 Pb